Record 1
MgHgS2Cl | PBE | optimized geometry

## Properties
E_form (uncorrected)   -13.68 kJ/mol of atoms
E_tot   -2.54 eV/atom

a = 4.9665 Å, b = 4.9665 Å, c = 4.7163 Å
α = 90.00°, β = 90.00°, γ = 90.00°
Last column: nearest neighbours and their distance in Å.
Fractional positions:
Mg 0.0000 0.0000 0.0000  2 Cl 2.36, 4 S 2.48
Hg 0.5000 0.5000 0.5000  8 S 3.42, 4 Cl 3.51
S 0.0000 0.5000 0.0000  2 Mg 2.48
S 0.5000 0.0000 0.0000  2 Mg 2.48
Cl 0.0000 0.0000 0.5000  2 Mg 2.36

Record 2
MgSiHg2Cl | PBE | optimized geometry

## Properties
E_form (uncorrected)   31.16 kJ/mol of atoms
E_tot   -1.57 eV/atom

a = 5.4455 Å, b = 5.1253 Å, c = 5.4455 Å
α = 90.00°, β = 90.00°, γ = 90.00°
Last column: nearest neighbours and their distance in Å.
Fractional positions:
Si 0.0000 0.5000 0.0000  2 Mg 2.56
Cl 0.5000 0.5000 0.5000  8 Hg 3.74, 4 Si 3.85
Mg 0.0000 0.0000 0.0000  2 Si 2.56, 4 Hg 2.72
Hg 0.0000 0.0000 0.5000  2 Mg 2.72
Hg 0.5000 0.0000 0.0000  2 Mg 2.72

The lowest E_tot belongs to which entry?
MgHgS2Cl

Look up the E_tot of the second one.
-1.57 eV/atom

What is the formula in the second record?
MgSiHg2Cl